Record 1
## Ce2PrHo (PBE-GGA)

Data for crystalline Ce2PrHo at its relaxed geometry.

Calculated values
Electronic total energy ... -20.77 eV per formula unit
Energy relative to the elements ... 0.113 eV per atom
Space group ... P4/mmm (123)
Relative energy among the computed polymorphs ... 7.5 meV/atom
Volume ... 125.1 Å³/cell

a b c (Å): 4.9355 4.9355 5.1371
angles (deg): 90.00 90.00 90.00
Last column: nearest neighbours and their distance in Å.
Sites, in units of the cell vectors:
Ce  0.0000  0.5000  0.0000  4 Ce 3.49, 4 Ho 3.56, 4 Pr 3.56
Ce  0.5000  0.0000  0.0000  4 Ce 3.49, 4 Ho 3.56, 4 Pr 3.56
Pr  0.0000  0.0000  0.5000  4 Ho 3.49, 8 Ce 3.56
Ho  0.5000  0.5000  0.5000  4 Pr 3.49, 8 Ce 3.56

---

Record 2
## CePr3Ho12 (PBE-GGA)

Data for crystalline CePr3Ho12 at its relaxed geometry.

Calculated values
Electronic total energy ... -74.66 eV per formula unit
Energy relative to the elements ... 0.034 eV per atom
Space group ... P4/mmm (123)
Volume ... 510.5 Å³/cell

a b c (Å): 5.0354 5.0354 20.1330
angles (deg): 90.00 90.00 90.00
Last column: nearest neighbours and their distance in Å.
Sites, in units of the cell vectors:
Ce  0.0000  0.0000  0.0000  12 Ho 3.51-3.56
Pr  0.0000  0.0000  0.2476  12 Ho 3.56-3.58
Pr  0.0000  0.0000  0.5000  12 Ho 3.56-3.58
Pr  0.0000  0.0000  0.7524  12 Ho 3.56-3.58
Ho  0.0000  0.5000  0.1218  2 Ce 3.51, 8 Ho 3.51-3.59, 2 Pr 3.57
Ho  0.0000  0.5000  0.3739  8 Ho 3.56-3.58, 4 Pr 3.58
Ho  0.0000  0.5000  0.6261  8 Ho 3.56-3.58, 4 Pr 3.58
Ho  0.0000  0.5000  0.8782  2 Ce 3.51, 8 Ho 3.51-3.59, 2 Pr 3.57
Ho  0.5000  0.0000  0.1218  2 Ce 3.51, 8 Ho 3.51-3.59, 2 Pr 3.57
Ho  0.5000  0.0000  0.3739  8 Ho 3.56-3.58, 4 Pr 3.58
Ho  0.5000  0.0000  0.6261  8 Ho 3.56-3.58, 4 Pr 3.58
Ho  0.5000  0.0000  0.8782  2 Ce 3.51, 8 Ho 3.51-3.59, 2 Pr 3.57
Ho  0.5000  0.5000  0.0000  8 Ho 3.51, 4 Ce 3.56
Ho  0.5000  0.5000  0.2489  8 Ho 3.56-3.59, 4 Pr 3.56
Ho  0.5000  0.5000  0.5000  4 Pr 3.56, 8 Ho 3.58
Ho  0.5000  0.5000  0.7511  8 Ho 3.56-3.59, 4 Pr 3.56

---

Record 3
## CePr4Ho3 (PBE-GGA)

Data for crystalline CePr4Ho3 at its relaxed geometry.

Calculated values
Electronic total energy ... -37.25 eV per formula unit
Energy relative to the elements ... 0.192 eV per atom
Space group ... C2/m (12)
Volume ... 271.8 Å³/cell

a b c (Å): 12.0209 12.0209 6.9052
angles (deg): 106.54 106.54 16.52
Last column: nearest neighbours and their distance in Å.
Sites, in units of the cell vectors:
Ce  0.0000  0.0000  0.0000  2 Ce 3.45, 4 Pr 3.67, 8 Ho 3.67-3.86
Pr  0.2414  0.2414  0.2343  7 Pr 3.45-3.79, 3 Ho 3.56-3.61
Pr  0.3786  0.3786  0.6366  3 Ho 3.29-3.57, 5 Pr 3.45-3.66, 2 Ce 3.67
Pr  0.6214  0.6214  0.3634  3 Ho 3.29-3.57, 5 Pr 3.45-3.66, 2 Ce 3.67
Pr  0.7586  0.7586  0.7657  7 Pr 3.45-3.79, 3 Ho 3.56-3.61
Ho  0.3780  0.3780  0.1194  3 Ho 3.31-3.45, 5 Pr 3.34-3.61, 2 Ce 3.67
Ho  0.5000  0.5000  0.5000  2 Pr 3.29, 4 Ho 3.31-3.45
Ho  0.6220  0.6220  0.8806  3 Ho 3.31-3.45, 5 Pr 3.34-3.61, 2 Ce 3.67

---

Record 4
## CePr3Ho7 (PBE-GGA)

Data for crystalline CePr3Ho7 at its relaxed geometry.

Calculated values
Electronic total energy ... -50.23 eV per formula unit
Energy relative to the elements ... 0.190 eV per atom
Space group ... P3m1 (156)
Volume ... 375.4 Å³/cell

a b c (Å): 7.0506 7.0506 8.7210
angles (deg): 90.00 90.00 120.00
Last column: nearest neighbours and their distance in Å.
Sites, in units of the cell vectors:
Ce  0.0000  0.0000  0.0000  9 Ho 3.45-3.53, 3 Pr 3.56
Pr  0.1651  0.3301  0.6632  4 Pr 3.49-3.56, 1 Ce 3.56, 5 Ho 3.57-3.63
Pr  0.1651  0.8349  0.6632  4 Pr 3.49-3.56, 1 Ce 3.56, 5 Ho 3.57-3.63
Pr  0.6699  0.8349  0.6632  4 Pr 3.49-3.56, 1 Ce 3.56, 5 Ho 3.57-3.63
Ho  0.0005  0.5003  0.9987  7 Ho 3.46-3.53, 2 Ce 3.53, 2 Pr 3.57
Ho  0.3298  0.1649  0.3210  1 Ce 3.45, 8 Ho 3.48-3.56, 2 Pr 3.60
Ho  0.3333  0.6667  0.3200  9 Ho 3.46-3.53, 3 Pr 3.63
Ho  0.4997  0.5003  0.9987  7 Ho 3.46-3.53, 2 Ce 3.53, 2 Pr 3.57
Ho  0.4997  0.9995  0.9987  7 Ho 3.46-3.53, 2 Ce 3.53, 2 Pr 3.57
Ho  0.8351  0.1649  0.3210  1 Ce 3.45, 8 Ho 3.48-3.56, 2 Pr 3.60
Ho  0.8351  0.6702  0.3210  1 Ce 3.45, 8 Ho 3.48-3.56, 2 Pr 3.60

---

Record 5
## CePr2Ho8 (PBE-GGA)

Data for crystalline CePr2Ho8 at its relaxed geometry.

Calculated values
Electronic total energy ... -50.06 eV per formula unit
Energy relative to the elements ... 0.187 eV per atom
Space group ... C2/m (12)
Relative energy among the computed polymorphs ... 143.9 meV/atom
Volume ... 369.2 Å³/cell

a b c (Å): 10.1394 10.1394 5.5990
angles (deg): 92.79 92.79 39.97
Last column: nearest neighbours and their distance in Å.
Sites, in units of the cell vectors:
Ce  0.0000  0.0000  0.0000  10 Ho 3.47-3.80
Pr  0.2829  0.2829  0.7504  7 Ho 3.25-3.52
Pr  0.7171  0.7171  0.2496  7 Ho 3.25-3.52
Ho  0.1350  0.6072  0.2681  5 Ho 3.27-3.66, 3 Pr 3.46-3.66, 1 Ce 3.47
Ho  0.1833  0.1833  0.2324  4 Pr 3.38-3.52, 4 Ho 3.46-3.54, 1 Ce 3.66
Ho  0.3928  0.8650  0.7319  5 Ho 3.27-3.66, 3 Pr 3.46-3.66, 1 Ce 3.47
Ho  0.4536  0.4536  0.7637  1 Ho 3.11, 1 Pr 3.25
Ho  0.5464  0.5464  0.2363  1 Ho 3.11, 1 Pr 3.25
Ho  0.6072  0.1350  0.2681  5 Ho 3.27-3.66, 3 Pr 3.46-3.66, 1 Ce 3.47
Ho  0.8167  0.8167  0.7676  4 Pr 3.38-3.52, 4 Ho 3.46-3.54, 1 Ce 3.66
Ho  0.8650  0.3928  0.7319  5 Ho 3.27-3.66, 3 Pr 3.46-3.66, 1 Ce 3.47

---

Record 6
## CePr2Ho3 (PBE-GGA)

Data for crystalline CePr2Ho3 at its relaxed geometry.

Calculated values
Electronic total energy ... -28.31 eV per formula unit
Energy relative to the elements ... 0.152 eV per atom
Space group ... C2/m (12)
Volume ... 393.5 Å³/cell

a b c (Å): 9.2191 9.2191 14.3490
angles (deg): 118.51 118.51 21.66
Last column: nearest neighbours and their distance in Å.
Sites, in units of the cell vectors:
Ce  0.0512  0.0512  0.1096  1 Ce 2.77
Ce  0.9488  0.9488  0.8904  1 Ce 2.77
Pr  0.1525  0.1525  0.9592  2 Ce 3.32-3.44, 5 Ho 3.45-3.64, 4 Pr 3.47-3.58
Pr  0.3246  0.3246  0.6251  5 Ho 3.43-3.60, 4 Pr 3.47-3.71, 2 Ce 3.77
Pr  0.6754  0.6754  0.3749  5 Ho 3.43-3.60, 4 Pr 3.47-3.71, 2 Ce 3.77
Pr  0.8475  0.8475  0.0408  2 Ce 3.32-3.44, 5 Ho 3.45-3.64, 4 Pr 3.47-3.58
Ho  0.1005  0.1005  0.5299  8 Ho 3.31-3.61, 3 Pr 3.57-3.60
Ho  0.2413  0.2413  0.7945  5 Ho 3.39-3.64, 4 Pr 3.43-3.55, 2 Ce 3.74
Ho  0.4589  0.4589  0.2954  8 Ho 3.47-3.64, 3 Pr 3.51-3.64
Ho  0.5411  0.5411  0.7046  8 Ho 3.47-3.64, 3 Pr 3.51-3.64
Ho  0.7587  0.7587  0.2055  5 Ho 3.39-3.64, 4 Pr 3.43-3.55, 2 Ce 3.74
Ho  0.8995  0.8995  0.4701  8 Ho 3.31-3.61, 3 Pr 3.57-3.60

---

Record 7
## Ce2PrHo (PBE-GGA)

Data for crystalline Ce2PrHo at its relaxed geometry.

Calculated values
Electronic total energy ... -20.74 eV per formula unit
Energy relative to the elements ... 0.121 eV per atom
Space group ... P4/mmm (123)
Relative energy among the computed polymorphs ... 15.4 meV/atom
Volume ... 125.4 Å³/cell

a b c (Å): 3.4975 3.4975 10.2483
angles (deg): 90.00 90.00 90.00
Last column: nearest neighbours and their distance in Å.
Sites, in units of the cell vectors:
Ce  0.0000  0.0000  0.2450  4 Ce 3.50, 4 Ho 3.52, 4 Pr 3.60
Ce  0.0000  0.0000  0.7550  4 Ce 3.50, 4 Ho 3.52, 4 Pr 3.60
Pr  0.5000  0.5000  0.5000  4 Pr 3.50, 8 Ce 3.60
Ho  0.5000  0.5000  0.0000  4 Ho 3.50, 8 Ce 3.52

---

Record 8
## CePr5Ho (PBE-GGA)

Data for crystalline CePr5Ho at its relaxed geometry.

Calculated values
Electronic total energy ... -33.09 eV per formula unit
Energy relative to the elements ... 0.189 eV per atom
Space group ... P-1 (2)
Volume ... 247.2 Å³/cell

a b c (Å): 6.3837 6.6827 6.7002
angles (deg): 118.48 95.14 95.40
Last column: nearest neighbours and their distance in Å.
Sites, in units of the cell vectors:
Ce  0.0000  0.0000  0.0000  2 Ho 3.34, 4 Pr 3.35-3.61
Pr  0.0000  0.0000  0.5000  2 Ce 3.35, 2 Ho 3.42, 4 Pr 3.45-3.66
Pr  0.2651  0.5745  0.5772  5 Pr 3.35-3.70, 1 Ce 3.61, 1 Ho 3.63
Pr  0.4976  0.8144  0.1790  1 Ho 3.41, 5 Pr 3.45-3.80, 1 Ce 3.81
Pr  0.5024  0.1856  0.8210  1 Ho 3.41, 5 Pr 3.45-3.80, 1 Ce 3.81
Pr  0.7349  0.4255  0.4228  5 Pr 3.35-3.70, 1 Ce 3.61, 1 Ho 3.63
Ho  0.0000  0.5000  0.0000  2 Ce 3.34, 6 Pr 3.41-3.63

---

energy relative to the elements of number 4 (CePr3Ho7)? 0.190 eV per atom

---

What is the volume in the sixth record? 393.5 Å³/cell

---

volume of number 3 (CePr4Ho3)? 271.8 Å³/cell

---

Number 3 is which compound? CePr4Ho3